Computed, not measured: crystalline LiCu2Rh at its relaxed geometry at the GGA-PBEsol level of DFT.

Geometry as extended XYZ:
```
4
Lattice="2.489 0.000 0.000 0.000 3.791 0.000 0.000 0.000 5.144" Properties=species:S:1:pos:R:3 pbc="T T T"
Li 0.000 0.000 0.000
Cu 0.000 0.000 2.604
Cu 1.244 1.895 3.852
Rh 1.244 1.895 1.301
```

Calculated values
Total DFT energy (no corrections) = -4.650 eV/atom
Crystal system = orthorhombic
DFT formation energy = 43.0 meV/atom

Computed, not measured: crystalline LiCu2Rh at its relaxed geometry at the GGA-PBEsol level of DFT.

Geometry as extended XYZ:
```
4
Lattice="2.590 -3.544 0.000 2.590 3.544 0.000 0.000 0.000 2.634" Properties=species:S:1:pos:R:3 pbc="T T T"
Li 0.000 0.000 0.000
Cu 1.295 1.772 1.317
Cu 1.295 -1.772 1.317
Rh 2.590 0.000 0.000
```

Calculated values
Total DFT energy (no corrections) = -4.757 eV/atom
Crystal system = orthorhombic
DFT formation energy = -63.5 meV/atom

Computed, not measured: crystalline LiCu2Rh at its relaxed geometry at the GGA-PBEsol level of DFT.

Geometry as extended XYZ:
```
4
Lattice="4.168 0.000 0.000 0.000 4.168 0.000 0.000 0.000 2.799" Properties=species:S:1:pos:R:3 pbc="T T T"
Li 0.000 0.000 0.000
Cu 0.000 2.084 1.400
Cu 2.084 0.000 1.400
Rh 2.084 2.084 0.000
```

Calculated values
Total DFT energy (no corrections) = -4.742 eV/atom
Crystal system = tetragonal
DFT formation energy = -48.7 meV/atom

Computed, not measured: crystalline LiCu2Rh at its relaxed geometry at the GGA-PBEsol level of DFT.

Geometry as extended XYZ:
```
4
Lattice="4.356 -1.263 0.000 4.356 1.263 0.000 -0.698 0.000 4.394" Properties=species:S:1:pos:R:3 pbc="T T T"
Li 0.000 0.000 0.000
Cu 1.619 0.000 3.289
Cu 6.395 0.000 1.105
Rh 4.007 0.000 2.197
```

Calculated values
Total DFT energy (no corrections) = -4.667 eV/atom
Crystal system = monoclinic
DFT formation energy = 26.8 meV/atom

Computed, not measured: crystalline LiCu2Rh at its relaxed geometry at the GGA-PBEsol level of DFT.

Geometry as extended XYZ:
```
4
Lattice="1.296 0.748 8.483 -1.296 0.748 8.483 0.000 -1.497 8.483" Properties=species:S:1:pos:R:3 pbc="T T T"
Li 0.000 0.000 0.000
Cu 0.000 0.000 6.296
Cu 0.000 0.000 12.764
Rh 0.000 0.000 19.104
```

Calculated values
Total DFT energy (no corrections) = -4.686 eV/atom
Crystal system = trigonal
DFT formation energy = 7.0 meV/atom

Computed, not measured: crystalline LiCu4Rh at its relaxed geometry at the GGA-PBEsol level of DFT.

Geometry as extended XYZ:
```
6
Lattice="0.000 3.329 3.329 3.329 0.000 3.329 3.329 3.329 0.000" Properties=species:S:1:pos:R:3 pbc="T T T"
Li 0.000 0.000 0.000
Cu 4.161 2.497 2.497
Cu 2.497 4.161 2.497
Cu 2.497 2.497 4.161
Cu 4.161 4.161 4.161
Rh 1.665 1.665 1.665
```

Calculated values
Total DFT energy (no corrections) = -4.516 eV/atom
Crystal system = cubic
DFT formation energy = 58.1 meV/atom

Computed, not measured: crystalline LiCu2Rh at its relaxed geometry at the GGA-PBEsol level of DFT.

Geometry as extended XYZ:
```
4
Lattice="-1.810 1.810 3.641 1.810 -1.810 3.641 1.810 1.810 -3.641" Properties=species:S:1:pos:R:3 pbc="T T T"
Li 0.000 0.000 0.000
Cu 1.810 0.000 1.820
Cu 0.000 0.000 3.641
Rh 0.000 1.810 1.820
```

Calculated values
Total DFT energy (no corrections) = -4.683 eV/atom
Crystal system = tetragonal
DFT formation energy = 10.8 meV/atom

Computed, not measured: crystalline LiCu2Rh at its relaxed geometry at the GGA-PBEsol level of DFT.

Geometry as extended XYZ:
```
4
Lattice="-1.436 2.059 4.055 1.436 -2.059 4.055 1.436 2.059 -4.055" Properties=species:S:1:pos:R:3 pbc="T T T"
Li 0.000 0.000 0.000
Cu 0.000 0.000 4.181
Cu 0.000 2.059 2.088
Rh 1.436 0.000 2.093
```

Calculated values
Total DFT energy (no corrections) = -4.683 eV/atom
Crystal system = orthorhombic
DFT formation energy = 10.9 meV/atom

Computed, not measured: crystalline LiCu2Rh at its relaxed geometry at the GGA-PBEsol level of DFT.

Geometry as extended XYZ:
```
4
Lattice="0.000 2.870 2.870 2.870 0.000 2.870 2.870 2.870 0.000" Properties=species:S:1:pos:R:3 pbc="T T T"
Li 0.000 0.000 0.000
Cu 1.435 1.435 1.435
Cu 2.870 2.870 2.870
Rh 4.305 4.305 4.305
```

Calculated values
Total DFT energy (no corrections) = -4.664 eV/atom
Crystal system = cubic
DFT formation energy = 28.9 meV/atom

Computed, not measured: crystalline LiCu2Rh at its relaxed geometry at the GGA-PBEsol level of DFT.

Geometry as extended XYZ:
```
4
Lattice="-1.875 1.875 3.418 1.875 -1.875 3.418 1.875 1.875 -3.418" Properties=species:S:1:pos:R:3 pbc="T T T"
Li 0.000 0.000 0.000
Cu 1.875 0.000 1.709
Cu 0.000 1.875 1.709
Rh 0.000 0.000 3.418
```

Calculated values
Total DFT energy (no corrections) = -4.686 eV/atom
Crystal system = tetragonal
DFT formation energy = 7.6 meV/atom

Computed, not measured: crystalline Li2CuRu at its relaxed geometry at the GGA-PBEsol level of DFT.

Geometry as extended XYZ:
```
4
Lattice="4.461 -1.228 0.000 4.461 1.228 0.000 -0.776 0.000 4.540" Properties=species:S:1:pos:R:3 pbc="T T T"
Li 1.984 0.000 1.162
Li 6.161 0.000 3.377
Cu 4.461 0.000 0.000
Ru -0.388 0.000 2.270
```

Calculated values
Total DFT energy (no corrections) = -4.505 eV/atom
Polymorph energy (0 for the lowest one) = 0 meV per atom
Crystal system = monoclinic
DFT formation energy = 105.5 meV/atom

Computed, not measured: crystalline Li3CuRu at its relaxed geometry at the GGA-PBEsol level of DFT.

Geometry as extended XYZ:
```
5
Lattice="4.505 0.000 0.000 0.000 4.505 0.000 0.000 0.000 4.505" Properties=species:S:1:pos:R:3 pbc="T T T"
Li 0.000 0.000 2.253
Li 0.000 2.253 0.000
Li 2.253 0.000 0.000
Cu 2.253 2.253 2.253
Ru 0.000 0.000 0.000
```

Calculated values
Total DFT energy (no corrections) = -2.880 eV/atom
Crystal system = cubic
DFT formation energy = 1201.0 meV/atom

Computed, not measured: crystalline Li2CuRu at its relaxed geometry at the GGA-PBEsol level of DFT.

Geometry as extended XYZ:
```
4
Lattice="2.427 0.000 0.000 0.000 4.383 0.000 -0.216 0.000 4.674" Properties=species:S:1:pos:R:3 pbc="T T T"
Li 0.400 0.000 1.122
Li 1.811 0.000 3.552
Cu -0.108 2.191 2.337
Ru 1.214 2.191 0.000
```

Calculated values
Total DFT energy (no corrections) = -4.496 eV/atom
Polymorph energy (0 for the lowest one) = 9 meV per atom
Crystal system = monoclinic
DFT formation energy = 114.5 meV/atom

Computed, not measured: crystalline Li2CuRu at its relaxed geometry at the GGA-PBEsol level of DFT.

Geometry as extended XYZ:
```
4
Lattice="2.424 0.000 0.000 0.000 4.141 0.000 0.000 0.000 5.118" Properties=species:S:1:pos:R:3 pbc="T T T"
Li 0.000 0.000 0.000
Li 1.212 2.070 1.256
Cu 1.212 2.070 3.663
Ru 0.000 0.000 2.631
```

Calculated values
Total DFT energy (no corrections) = -4.437 eV/atom
Polymorph energy (0 for the lowest one) = 68 meV per atom
Crystal system = orthorhombic
DFT formation energy = 173.2 meV/atom

Computed, not measured: crystalline Li2CuRu at its relaxed geometry at the GGA-PBEsol level of DFT.

Geometry as extended XYZ:
```
4
Lattice="-1.240 2.221 4.472 1.240 -2.221 4.472 1.240 2.221 -4.472" Properties=species:S:1:pos:R:3 pbc="T T T"
Li 0.000 0.000 0.000
Li 0.000 2.221 2.227
Cu 0.000 0.000 4.588
Ru 1.240 0.000 2.373
```

Calculated values
Total DFT energy (no corrections) = -4.370 eV/atom
Polymorph energy (0 for the lowest one) = 134 meV per atom
Crystal system = orthorhombic
DFT formation energy = 239.7 meV/atom

Computed, not measured: crystalline Li2Cu4S3 at its relaxed geometry at the GGA-PBEsol level of DFT.

Geometry as extended XYZ:
```
36
Lattice="7.766 0.000 0.000 0.000 10.466 0.000 0.000 0.000 6.137" Properties=species:S:1:pos:R:3 pbc="T T T"
Li 0.000 0.000 0.000
Li 0.000 5.233 0.000
Li 0.042 2.616 2.016
Li 3.841 7.849 5.085
Li 3.883 0.000 3.069
Li 3.883 5.233 3.069
Li 3.924 2.616 1.053
Li 7.724 7.849 4.121
Cu 0.991 0.785 3.674
Cu 0.991 4.448 3.674
Cu 1.286 7.849 6.094
Cu 1.500 2.616 5.916
Cu 2.383 7.849 2.848
Cu 2.597 2.616 3.025
Cu 2.891 6.018 0.605
Cu 2.891 9.681 0.605
Cu 4.874 0.785 5.532
Cu 4.874 4.448 5.532
Cu 5.169 7.849 3.112
Cu 5.383 2.616 3.289
Cu 6.265 7.849 0.221
Cu 6.479 2.616 0.043
Cu 6.774 6.018 2.463
Cu 6.774 9.681 2.463
S 0.155 7.849 1.801
S 1.906 0.969 1.536
S 1.906 4.264 1.536
S 1.977 6.202 4.605
S 1.977 9.497 4.605
S 3.728 2.616 4.869
S 4.038 7.849 1.268
S 5.789 0.969 1.533
S 5.789 4.264 1.533
S 5.859 6.202 4.601
S 5.859 9.497 4.601
S 7.611 2.616 4.336
```

Calculated values
Total DFT energy (no corrections) = -4.316 eV/atom
Energy relative to the elements, uncorrected = -427 kJ/mol of formula units
Polymorph energy (0 for the lowest one) = 56 meV per atom
Crystal system = orthorhombic

Computed, not measured: crystalline Li10Cu4S9 at its relaxed geometry at the GGA-PBEsol level of DFT.

Geometry as extended XYZ:
```
46
Lattice="11.410 0.000 0.000 0.000 11.410 0.000 0.000 0.000 5.602" Properties=species:S:1:pos:R:3 pbc="T T T"
Li 0.737 1.140 0.203
Li 0.737 4.565 0.203
Li 1.140 0.737 3.004
Li 1.140 4.968 3.004
Li 2.853 2.853 0.436
Li 2.853 2.853 3.237
Li 4.565 0.737 3.004
Li 4.565 4.968 3.004
Li 4.968 1.140 0.203
Li 4.968 4.565 0.203
Li 6.442 6.845 5.399
Li 6.442 10.270 5.399
Li 6.845 6.442 2.598
Li 6.845 10.673 2.598
Li 8.558 8.558 2.365
Li 8.558 8.558 5.166
Li 10.270 6.442 2.598
Li 10.270 10.673 2.598
Li 10.673 6.845 5.399
Li 10.673 10.270 5.399
Cu 1.105 8.558 2.777
Cu 2.853 6.810 0.025
Cu 2.853 10.305 0.025
Cu 4.600 8.558 2.777
Cu 6.810 2.853 2.826
Cu 8.558 1.105 5.578
Cu 8.558 4.600 5.578
Cu 10.305 2.853 2.826
S 0.942 2.853 1.823
S 1.042 6.747 1.401
S 1.042 10.368 1.401
S 2.853 0.942 4.624
S 2.853 4.763 4.624
S 2.853 8.558 4.202
S 4.663 6.747 1.401
S 4.663 10.368 1.401
S 4.763 2.853 1.823
S 6.647 8.558 3.779
S 6.747 1.042 4.202
S 6.747 4.663 4.202
S 8.558 2.853 1.401
S 8.558 6.647 0.978
S 8.558 10.468 0.978
S 10.368 1.042 4.202
S 10.368 4.663 4.202
S 10.468 8.558 3.779
```

Calculated values
Total DFT energy (no corrections) = -4.184 eV/atom
Energy relative to the elements, uncorrected = -1908 kJ/mol of formula units
Crystal system = tetragonal

Computed, not measured: crystalline LiCuS2 at its relaxed geometry at the GGA-PBEsol level of DFT.

Geometry as extended XYZ:
```
8
Lattice="5.800 0.000 0.000 0.000 6.485 0.000 0.000 0.000 3.351" Properties=species:S:1:pos:R:3 pbc="T T T"
Li 0.000 0.000 0.000
Li 2.900 3.242 1.676
Cu 0.000 3.242 1.676
Cu 2.900 0.000 0.000
S 1.086 2.281 0.000
S 1.815 5.524 1.676
S 3.986 0.961 1.676
S 4.715 4.203 0.000
```

Calculated values
Total DFT energy (no corrections) = -4.327 eV/atom
Energy relative to the elements, uncorrected = -216 kJ/mol of formula units
Crystal system = orthorhombic

Computed, not measured: crystalline Li2Cu4S3 at its relaxed geometry at the GGA-PBEsol level of DFT.

Geometry as extended XYZ:
```
18
Lattice="7.673 -1.866 0.000 7.673 1.866 0.000 -3.114 0.000 9.191" Properties=species:S:1:pos:R:3 pbc="T T T"
Li 1.392 0.000 3.615
Li 3.957 0.000 1.331
Li 8.276 0.000 7.860
Li 10.841 0.000 5.576
Cu -0.529 0.000 5.571
Cu -1.672 0.000 9.066
Cu 4.360 0.000 7.926
Cu 5.269 0.000 5.538
Cu 6.965 0.000 3.654
Cu 7.873 0.000 1.265
Cu 13.905 0.000 0.125
Cu 12.763 0.000 3.621
S -2.334 0.000 6.920
S 2.174 0.000 8.398
S 3.793 0.000 3.835
S 8.440 0.000 5.357
S 10.060 0.000 0.794
S 14.567 0.000 2.272
```

Calculated values
Total DFT energy (no corrections) = -4.372 eV/atom
Energy relative to the elements, uncorrected = -475 kJ/mol of formula units
Polymorph energy (0 for the lowest one) = 0 meV per atom
Crystal system = monoclinic

Computed, not measured: crystalline LiCuS2 at its relaxed geometry at the GGA-PBEsol level of DFT.

Geometry as extended XYZ:
```
4
Lattice="3.788 -1.691 0.000 3.788 1.691 0.000 -2.791 0.000 5.205" Properties=species:S:1:pos:R:3 pbc="T T T"
Li 0.000 0.000 0.000
Cu -1.396 0.000 2.602
S 2.187 0.000 1.205
S 2.599 0.000 3.999
```

Calculated values
Total DFT energy (no corrections) = -4.317 eV/atom
Energy relative to the elements, uncorrected = -212 kJ/mol of formula units
Crystal system = monoclinic

Computed, not measured: crystalline Li3CuS3 at its relaxed geometry at the GGA-PBEsol level of DFT.

Geometry as extended XYZ:
```
28
Lattice="10.362 0.000 0.000 0.000 10.362 0.000 0.000 0.000 4.597" Properties=species:S:1:pos:R:3 pbc="T T T"
Li 1.005 3.998 0.000
Li 1.183 6.186 2.298
Li 1.653 8.709 0.000
Li 3.528 3.528 2.298
Li 3.998 1.005 0.000
Li 4.176 9.179 2.298
Li 6.186 1.183 2.298
Li 6.364 9.357 0.000
Li 6.834 6.834 2.298
Li 8.709 1.653 0.000
Li 9.179 4.176 2.298
Li 9.357 6.364 0.000
Cu 1.228 1.228 2.298
Cu 3.953 6.409 0.000
Cu 6.409 3.953 0.000
Cu 9.134 9.134 2.298
S 0.946 9.416 2.298
S 1.136 3.442 2.298
S 1.739 6.317 0.000
S 3.442 1.136 2.298
S 4.045 8.623 0.000
S 4.235 4.235 0.000
S 6.127 6.127 0.000
S 6.317 1.739 0.000
S 6.919 9.226 2.298
S 8.623 4.045 0.000
S 9.226 6.919 2.298
S 9.416 0.946 2.298
```

Calculated values
Total DFT energy (no corrections) = -4.180 eV/atom
Energy relative to the elements, uncorrected = -567 kJ/mol of formula units
Crystal system = tetragonal

Computed, not measured: crystalline Li2Cu4S3 at its relaxed geometry at the GGA-PBEsol level of DFT.

Geometry as extended XYZ:
```
18
Lattice="5.462 -4.422 0.000 5.462 4.422 0.000 -2.771 0.000 5.351" Properties=species:S:1:pos:R:3 pbc="T T T"
Li 1.116 0.556 1.028
Li -0.269 -0.556 3.703
Li 8.422 0.556 1.648
Li 7.037 -0.556 4.323
Cu 2.828 2.332 2.102
Cu 4.067 1.256 0.188
Cu 6.711 2.332 0.573
Cu 5.471 1.256 2.487
Cu 2.682 -1.256 2.863
Cu 1.442 -2.332 4.778
Cu 4.086 -1.256 5.163
Cu 5.326 -2.332 3.248
S 4.769 3.120 1.338
S 1.799 0.784 3.376
S 3.184 -0.784 0.701
S 4.969 0.784 4.650
S 6.355 -0.784 1.975
S 3.384 -3.120 4.013
```

Calculated values
Total DFT energy (no corrections) = -4.301 eV/atom
Energy relative to the elements, uncorrected = -414 kJ/mol of formula units
Polymorph energy (0 for the lowest one) = 71 meV per atom
Crystal system = monoclinic